Here is crystalline La6TlSn5 at its relaxed geometry from the Alexandria database. Energies are from PBE.

Lattice parameters (Å, degrees): 9.340 9.340 9.340 148.02 121.51 68.23
Fractional coordinates of all 12 atoms:
La 0.081 0.332 0.749
La 0.247 0.000 0.247
La 0.417 0.668 0.749
La 0.583 0.332 0.251
La 0.753 0.000 0.753
La 0.919 0.668 0.251
Tl 0.500 0.500 0.000
Sn 0.000 0.500 0.500
Sn 0.167 0.167 0.000
Sn 0.336 0.836 0.500
Sn 0.664 0.164 0.500
Sn 0.833 0.833 0.000

final energy = -5.019 eV/atom
Fermi-level density of states = 9.6 states/eV per cell
E_form = -0.690 eV/atom